Density functional theory data (PBE-GGA) for crystalline TaAlIr at its relaxed geometry.

Cell lengths 5.8061, 5.8061, 5.8061 Å; angles 150.82, 150.82, 41.74 degrees
Closest atoms and distances in Å follow each position.
Element x y z (fractional)
1 Ta 0.0000 0.0000 0.0000  4 Ir 2.80, 4 Al 2.86, 4 Ta 2.93
2 Al 0.6819 0.6819 0.0000  4 Ir 2.59, 4 Ta 2.86
3 Ir 0.3259 0.3259 0.0000  4 Al 2.59, 4 Ta 2.80

Summary:
Final energy (eV per atom): -8.77
Space group: No. 107

---

Density functional theory data (PBE-GGA) for crystalline YBe5 at its relaxed geometry.

Cell lengths 4.6760, 4.6760, 4.6760 Å; angles 60.00, 60.00, 60.00 degrees
Closest atoms and distances in Å follow each position.
Element x y z (fractional)
1 Y 0.0000 0.0000 0.0000  16 Be 2.74-2.86
2 Be 0.1252 0.6249 0.6249  6 Be 2.34
3 Be 0.2500 0.2500 0.2500  12 Be 2.74, 4 Y 2.86
4 Be 0.6249 0.1252 0.6249  6 Be 2.34
5 Be 0.6249 0.6249 0.1252  6 Be 2.34
6 Be 0.6249 0.6249 0.6249  6 Be 2.34

Summary:
Final energy (eV per atom): -3.94
Space group: No. 216

---

Density functional theory data (PBE-GGA) for crystalline Sm9HoIn2 at its relaxed geometry.

Cell lengths 4.9547, 4.9547, 15.1651 Å; angles 90.00, 90.00, 90.00 degrees
Closest atoms and distances in Å follow each position.
Element x y z (fractional)
1 Sm 0.0000 0.0000 0.0000  4 Ho 3.50, 8 Sm 3.60
2 Sm 0.0000 0.0000 0.3366  4 In 3.50, 8 Sm 3.50-3.51
3 Sm 0.0000 0.0000 0.6634  4 In 3.50, 8 Sm 3.50-3.51
4 Sm 0.0000 0.5000 0.1723  8 Sm 3.50-3.60, 2 In 3.54, 2 Ho 3.60
5 Sm 0.0000 0.5000 0.5000  4 In 3.48, 8 Sm 3.50
6 Sm 0.0000 0.5000 0.8277  8 Sm 3.50-3.60, 2 In 3.54, 2 Ho 3.60
7 Sm 0.5000 0.0000 0.1723  8 Sm 3.50-3.60, 2 In 3.54, 2 Ho 3.60
8 Sm 0.5000 0.0000 0.5000  4 In 3.48, 8 Sm 3.50
9 Sm 0.5000 0.0000 0.8277  8 Sm 3.50-3.60, 2 In 3.54, 2 Ho 3.60
10 Ho 0.5000 0.5000 0.0000  12 Sm 3.50-3.60
11 In 0.5000 0.5000 0.3388  12 Sm 3.48-3.54
12 In 0.5000 0.5000 0.6612  12 Sm 3.48-3.54

Summary:
Final energy (eV per atom): -4.55
Space group: No. 123

---

Density functional theory data (PBE-GGA) for crystalline Ta2GaFePb at its relaxed geometry.

Cell lengths 5.1984, 5.1984, 4.9032 Å; angles 90.00, 90.00, 90.00 degrees
Closest atoms and distances in Å follow each position.
Element x y z (fractional)
1 Ta 0.0000 0.5000 0.0000  2 Pb 2.60
2 Ta 0.5000 0.0000 0.0000  2 Pb 2.60
3 Ga 0.0000 0.0000 0.5000  2 Pb 2.45
4 Fe 0.5000 0.5000 0.5000  8 Ta 3.57, 4 Ga 3.68
5 Pb 0.0000 0.0000 0.0000  2 Ga 2.45, 4 Ta 2.60

Summary:
Final energy (eV per atom): -5.10
Space group: No. 123

---

Density functional theory data (PBE-GGA) for crystalline PdO2F5 at its relaxed geometry.

Cell lengths 4.0302, 5.3982, 6.3266 Å; angles 69.89, 71.63, 68.36 degrees
Closest atoms and distances in Å follow each position.
Element x y z (fractional)
1 Pd 0.0000 0.0000 0.0000  6 F 1.91-2.03
2 O 0.2098 0.5013 0.4985  1 O 1.18
3 O 0.5086 0.4909 0.4970  1 O 1.18
4 F 0.1181 0.6089 0.1466  1 Pd 1.93
5 F 0.1839 0.9340 0.7000  1 Pd 1.91
6 F 0.4791 0.0152 0.0276  2 Pd 2.02-2.03
7 F 0.8208 0.0636 0.3022  1 Pd 1.92
8 F 0.8761 0.3911 0.8511  1 Pd 1.94

Summary:
Final energy (eV per atom): -3.82
Space group: No. 1

---

Density functional theory data (PBE-GGA) for crystalline SmGeHRu2 at its relaxed geometry.

Cell lengths 5.9296, 5.9296, 7.7127 Å; angles 90.00, 90.00, 146.42 degrees
Closest atoms and distances in Å follow each position.
Element x y z (fractional)
1 Sm 0.0378 0.9622 0.7500  4 H 2.61
2 Sm 0.9622 0.0378 0.2500  4 H 2.61
3 Ge 0.2385 0.7615 0.2500  6 Ru 2.52-2.60
4 Ge 0.7615 0.2385 0.7500  6 Ru 2.52-2.60
5 H 0.5000 0.5000 0.0000  2 Ru 1.77
6 H 0.5000 0.5000 0.5000  2 Ru 1.77
7 Ru 0.3471 0.6529 0.5467  1 H 1.77
8 Ru 0.3471 0.6529 0.9533  1 H 1.77
9 Ru 0.6529 0.3471 0.0467  1 H 1.77
10 Ru 0.6529 0.3471 0.4533  1 H 1.77

Summary:
Final energy (eV per atom): -6.62
Space group: No. 63

---

Density functional theory data (PBE-GGA) for crystalline AlInI2O at its relaxed geometry.

Cell lengths 6.1787, 6.1787, 3.9729 Å; angles 90.00, 90.00, 90.00 degrees
Closest atoms and distances in Å follow each position.
Element x y z (fractional)
1 Al 0.0000 0.0000 0.0000  8 I 3.67, 2 Al 3.97
2 In 0.5000 0.5000 0.5000  2 O 1.99
3 I 0.0000 0.5000 0.5000  2 In 3.09
4 I 0.5000 0.0000 0.5000  2 In 3.09
5 O 0.5000 0.5000 0.0000  2 In 1.99

Summary:
Space group: No. 123
Offset from the most stable computed form (meV/atom): 623.5

---

Density functional theory data (PBE-GGA) for crystalline SiPt2W at its relaxed geometry.

Cell lengths 4.8183, 4.8183, 2.6981 Å; angles 90.00, 90.00, 90.00 degrees
Closest atoms and distances in Å follow each position.
Element x y z (fractional)
1 Si 0.0000 0.0000 0.0000  2 Si 2.70, 8 Pt 2.76
2 Pt 0.0000 0.5000 0.5000  2 Pt 2.70, 4 W 2.76, 4 Si 2.76
3 Pt 0.5000 0.0000 0.5000  2 Pt 2.70, 4 W 2.76, 4 Si 2.76
4 W 0.5000 0.5000 0.0000  2 W 2.70, 8 Pt 2.76

Summary:
Final energy (eV per atom): -7.57
Space group: No. 123

---

Density functional theory data (PBE-GGA) for crystalline Tl4HgPb at its relaxed geometry.

Cell lengths 5.3243, 5.3243, 9.0424 Å; angles 106.67, 106.67, 58.96 degrees
Closest atoms and distances in Å follow each position.
Element x y z (fractional)
1 Tl 0.1261 0.1261 0.3667  1 Hg 3.13, 3 Pb 3.26-3.27
2 Tl 0.3691 0.3691 0.1178  3 Hg 3.21-3.23, 1 Pb 3.26
3 Tl 0.6309 0.6309 0.8822  3 Hg 3.21-3.23, 1 Pb 3.26
4 Tl 0.8739 0.8739 0.6333  1 Hg 3.13, 3 Pb 3.26-3.27
5 Hg 0.0000 0.0000 0.0000  8 Tl 3.13-3.23
6 Pb 0.5000 0.5000 0.5000  8 Tl 3.26-3.27

Summary:
Space group: No. 12
Offset from the most stable computed form (meV/atom): 74.6

---

Density functional theory data (PBE-GGA) for crystalline TaTcBr at its relaxed geometry.

Cell lengths 3.3104, 3.3104, 6.4278 Å; angles 90.00, 90.00, 120.00 degrees
Closest atoms and distances in Å follow each position.
Element x y z (fractional)
1 Ta 0.0000 0.0000 0.0000  3 Tc 2.50
2 Tc 0.6667 0.3333 0.2504  3 Ta 2.50
3 Br 0.3333 0.6667 0.6701  3 Ta 2.85

Summary:
Space group: No. 156
Offset from the most stable computed form (meV/atom): 0.0

---

Density functional theory data (PBE-GGA) for crystalline Li3Mg at its relaxed geometry.

Cell lengths 5.4695, 5.4695, 5.4695 Å; angles 90.00, 90.00, 90.00 degrees
Closest atoms and distances in Å follow each position.
Element x y z (fractional)
1 Li 0.0000 0.2500 0.5000  2 Li 2.73, 4 Mg 3.06
2 Li 0.0000 0.7500 0.5000  2 Li 2.73, 4 Mg 3.06
3 Li 0.2500 0.5000 0.0000  2 Li 2.73, 4 Mg 3.06
4 Li 0.5000 0.0000 0.2500  2 Li 2.73, 4 Mg 3.06
5 Li 0.5000 0.0000 0.7500  2 Li 2.73, 4 Mg 3.06
6 Li 0.7500 0.5000 0.0000  2 Li 2.73, 4 Mg 3.06
7 Mg 0.0000 0.0000 0.0000  12 Li 3.06
8 Mg 0.5000 0.5000 0.5000  12 Li 3.06

Summary:
Final energy (eV per atom): -1.83
Space group: No. 223

---

Density functional theory data (PBE-GGA) for crystalline PmBeP at its relaxed geometry.

Cell lengths 10.1692, 3.6723, 5.8448 Å; angles 90.00, 90.00, 90.00 degrees
Closest atoms and distances in Å follow each position.
Element x y z (fractional)
1 Pm 0.0730 0.2500 0.2428  4 Be 2.74-2.82
2 Pm 0.4270 0.7500 0.7428  4 Be 2.74-2.82
3 Pm 0.5730 0.2500 0.2572  4 Be 2.74-2.82
4 Pm 0.9270 0.7500 0.7572  4 Be 2.74-2.82
5 Be 0.1835 0.7500 0.9415  3 P 2.19-2.25
6 Be 0.3165 0.2500 0.4415  3 P 2.19-2.25
7 Be 0.6835 0.7500 0.5585  3 P 2.19-2.25
8 Be 0.8165 0.2500 0.0585  3 P 2.19-2.25
9 P 0.1740 0.2500 0.7369  3 Be 2.19-2.25
10 P 0.3260 0.7500 0.2369  3 Be 2.19-2.25
11 P 0.6740 0.2500 0.7631  3 Be 2.19-2.25
12 P 0.8260 0.7500 0.2631  3 Be 2.19-2.25

Summary:
Space group: No. 62
Offset from the most stable computed form (meV/atom): 298.5